[1]
Compound: CeNdDy2Ho4
Source: Alexandria
Functional: PBE-GGA
Structure: optimized geometry

Cell lengths 3.5438, 6.1382, 11.7566 Å; angles 79.99, 90.00, 90.00 degrees
Fractional positions:
Ho  0.5000  0.2535  0.7468
Ho  0.0000  0.2519  0.2519
Ho  0.5000  0.7465  0.2532
Ho  0.0000  0.7481  0.7481
Dy  0.5000  0.0000  0.5000
Dy  0.0000  0.0000  0.0000
Ce  0.0000  0.5000  0.5000
Nd  0.5000  0.5000  0.0000

M_tot ... 0.8 μB/f.u.
Total energy ... -4.737 eV/atom
Formation enthalpy at 0 K ... 0.040 eV per atom

---

[2]
Compound: Ce3DyHo2P6
Source: Alexandria
Functional: PBE-GGA
Structure: optimized geometry

Cell lengths 7.0027, 7.0027, 6.9849 Å; angles 99.62, 99.62, 120.01 degrees
Fractional positions:
Ho  0.3333  0.6667  0.0000
Ho  0.6667  0.3333  0.0000
P  0.9180  0.5839  0.7539
P  0.7479  0.7479  0.2459
P  0.2521  0.2521  0.7541
P  0.0820  0.4161  0.2461
P  0.5839  0.9180  0.7539
P  0.4161  0.0820  0.2461
Ce  0.5000  0.5000  0.5000
Ce  0.8335  0.1665  0.5000
Ce  0.1665  0.8335  0.5000
Dy  0.0000  0.0000  0.0000

M_tot ... 1.5 μB/f.u.
Total energy ... -6.893 eV/atom
Formation enthalpy at 0 K ... -1.559 eV per atom

---

[3]
Compound: Ce2DyHoP4
Source: Alexandria
Functional: PBE-GGA
Structure: optimized geometry

Cell lengths 4.0447, 7.0055, 6.9877 Å; angles 109.52, 90.00, 90.00 degrees
Fractional positions:
P  0.5000  0.7506  0.7535
P  0.5000  0.2494  0.2465
P  0.0000  0.7480  0.2460
P  0.0000  0.2520  0.7540
Ho  0.5000  0.5000  0.0000
Ce  0.5000  0.0000  0.5000
Ce  0.0000  0.5000  0.5000
Dy  0.0000  0.0000  0.0000

M_tot ... 1.0 μB/f.u.
Total energy ... -6.895 eV/atom
Formation enthalpy at 0 K ... -1.559 eV per atom

---

[4]
Compound: CeDyHo2P4
Source: Alexandria
Functional: PBE-GGA
Structure: optimized geometry

Cell lengths 4.0168, 6.9487, 6.9460 Å; angles 109.41, 90.00, 90.00 degrees
Fractional positions:
P  0.5000  0.7497  0.7487
P  0.0000  0.2479  0.7470
P  0.5000  0.2503  0.2513
P  0.0000  0.7521  0.2530
Ce  0.5000  0.5000  0.0000
Ho  0.0000  0.5000  0.5000
Ho  0.5000  0.0000  0.5000
Dy  0.0000  0.0000  0.0000

M_tot ... 0.4 μB/f.u.
Total energy ... -6.755 eV/atom
Formation enthalpy at 0 K ... -1.589 eV per atom

---

[5]
Compound: CeDy2HoP4
Source: Alexandria
Functional: PBE-GGA
Structure: optimized geometry

Cell lengths 4.0214, 6.9547, 6.9574 Å; angles 109.41, 90.00, 90.00 degrees
Fractional positions:
P  0.5000  0.7509  0.7508
P  0.0000  0.7520  0.2512
P  0.5000  0.2491  0.2492
P  0.0000  0.2480  0.7488
Ho  0.0000  0.0000  0.0000
Dy  0.5000  0.0000  0.5000
Dy  0.0000  0.5000  0.5000
Ce  0.5000  0.5000  0.0000

M_tot ... 0.4 μB/f.u.
Total energy ... -6.758 eV/atom
Formation enthalpy at 0 K ... -1.589 eV per atom

---

[6]
Compound: Ce3Dy2HoP6
Source: Alexandria
Functional: PBE-GGA
Structure: optimized geometry

Cell lengths 7.0082, 7.0082, 6.9914 Å; angles 99.62, 99.62, 120.01 degrees
Fractional positions:
Dy  0.6666  0.3334  0.0000
Dy  0.3334  0.6666  0.0000
P  0.5852  0.9179  0.7535
P  0.0821  0.4148  0.2465
P  0.2504  0.2504  0.7534
P  0.7496  0.7496  0.2466
P  0.4148  0.0821  0.2465
P  0.9179  0.5852  0.7535
Ho  0.0000  0.0000  0.0000
Ce  0.1668  0.8332  0.5000
Ce  0.8332  0.1668  0.5000
Ce  0.5000  0.5000  0.5000

M_tot ... 1.5 μB/f.u.
Total energy ... -6.896 eV/atom
Formation enthalpy at 0 K ... -1.559 eV per atom

---

[7]
Compound: Ce2Dy3HoP6
Source: Alexandria
Functional: PBE-GGA
Structure: optimized geometry

Cell lengths 6.9762, 6.9762, 6.9711 Å; angles 99.60, 99.60, 120.00 degrees
Fractional positions:
P  0.7520  0.7520  0.2519
P  0.2480  0.2480  0.7481
P  0.4156  0.0834  0.2505
P  0.9166  0.5844  0.7495
P  0.0834  0.4156  0.2505
P  0.5844  0.9166  0.7495
Ce  0.6665  0.3335  0.0000
Ce  0.3335  0.6665  0.0000
Ho  0.0000  0.0000  0.0000
Dy  0.8330  0.1670  0.5000
Dy  0.1670  0.8330  0.5000
Dy  0.5000  0.5000  0.5000

M_tot ... 0.8 μB/f.u.
Total energy ... -6.806 eV/atom
Formation enthalpy at 0 K ... -1.580 eV per atom

---

[8]
Compound: CeDy3Ho2P6
Source: Alexandria
Functional: PBE-GGA
Structure: optimized geometry

Cell lengths 6.9430, 6.9430, 6.9479 Å; angles 99.59, 99.59, 119.99 degrees
Fractional positions:
P  0.5831  0.9168  0.7502
P  0.4169  0.0832  0.2498
P  0.2508  0.2508  0.7514
P  0.0832  0.4169  0.2498
P  0.7492  0.7492  0.2486
P  0.9168  0.5831  0.7502
Dy  0.5000  0.5000  0.5000
Dy  0.8335  0.1665  0.5000
Dy  0.1665  0.8335  0.5000
Ho  0.6666  0.3334  0.0000
Ho  0.3334  0.6666  0.0000
Ce  0.0000  0.0000  0.0000

M_tot ... 0.3 μB/f.u.
Total energy ... -6.715 eV/atom
Formation enthalpy at 0 K ... -1.602 eV per atom

---

[9]
Compound: Ce2Pm3Dy6Ho
Source: Alexandria
Functional: PBE-GGA
Structure: optimized geometry

Cell lengths 6.1741, 6.1741, 11.7662 Å; angles 95.01, 95.01, 119.99 degrees
Fractional positions:
Dy  0.2531  0.2531  0.7536
Dy  0.4176  0.0822  0.2462
Dy  0.9178  0.5824  0.7538
Dy  0.5824  0.9178  0.7538
Dy  0.0822  0.4176  0.2462
Dy  0.7469  0.7469  0.2464
Pm  0.8339  0.1661  0.5000
Pm  0.1661  0.8339  0.5000
Pm  0.5000  0.5000  0.5000
Ho  0.0000  0.0000  0.0000
Ce  0.6664  0.3336  0.0000
Ce  0.3336  0.6664  0.0000

M_tot ... 1.9 μB/f.u.
Total energy ... -4.815 eV/atom
Formation enthalpy at 0 K ... 0.044 eV per atom

---

[10]
Compound: CePmDy2Ho5
Source: Alexandria
Functional: PBE-GGA
Structure: optimized geometry

Cell lengths 5.6806, 11.0795, 9.5601 Å; angles 90.00, 90.00, 104.85 degrees
Fractional positions:
Ce  0.1945  0.3891  0.0220
Ce  0.8055  0.6109  0.5220
Ho  0.4713  0.9426  0.7455
Ho  0.3069  0.6138  0.7162
Ho  0.6931  0.3862  0.2162
Ho  0.7337  0.4673  0.8343
Ho  0.6059  0.2117  0.5407
Ho  0.9870  0.9741  0.5148
Ho  0.2663  0.5327  0.3343
Ho  0.3941  0.7883  0.0407
Ho  0.0130  0.0259  0.0148
Ho  0.5287  0.0574  0.2455
Pm  0.5967  0.1933  0.9240
Pm  0.4033  0.8067  0.4240
Dy  0.8869  0.7737  0.8221
Dy  0.8633  0.7265  0.2045
Dy  0.1367  0.2735  0.7045
Dy  0.1131  0.2263  0.3221

M_tot ... 0.8 μB/f.u.
Total energy ... -4.579 eV/atom
Formation enthalpy at 0 K ... 0.174 eV per atom

---

[11]
Compound: CePmDy2Ho4
Source: Alexandria
Functional: PBE-GGA
Structure: optimized geometry

Cell lengths 3.5399, 6.1325, 11.7434 Å; angles 79.98, 90.00, 90.00 degrees
Fractional positions:
Pm  0.5000  0.5000  0.0000
Ho  0.5000  0.7461  0.2528
Ho  0.0000  0.7482  0.7485
Ho  0.5000  0.2539  0.7472
Ho  0.0000  0.2518  0.2515
Ce  0.0000  0.5000  0.5000
Dy  0.0000  0.0000  0.0000
Dy  0.5000  0.0000  0.5000

M_tot ... 0.8 μB/f.u.
Total energy ... -4.735 eV/atom
Formation enthalpy at 0 K ... 0.040 eV per atom

---

[12]
Compound: CePmDy2Ho
Source: Alexandria
Functional: PBE-GGA
Structure: optimized geometry

Cell lengths 7.0401, 7.8888, 5.8828 Å; angles 90.00, 90.00, 90.00 degrees
Fractional positions:
Ce  0.0000  0.0000  0.5000
Ce  0.0000  0.0000  0.0000
Pm  0.8367  0.5000  0.2500
Pm  0.1633  0.5000  0.7500
Dy  0.6835  0.7056  0.7500
Dy  0.6835  0.2944  0.7500
Dy  0.3165  0.2944  0.2500
Dy  0.3165  0.7056  0.2500
Ho  0.6034  0.0000  0.2500
Ho  0.3966  0.0000  0.7500

M_tot ... 1.7 μB/f.u.
Total energy ... -4.603 eV/atom
Formation enthalpy at 0 K ... 0.290 eV per atom

---

[13]
Compound: CePmDy4Ho2
Source: Alexandria
Functional: PBE-GGA
Structure: optimized geometry

Cell lengths 3.5431, 6.1356, 11.7785 Å; angles 80.04, 90.00, 90.00 degrees
Fractional positions:
Ho  0.5000  0.0000  0.5000
Ho  0.0000  0.0000  0.0000
Dy  0.5000  0.2539  0.7473
Dy  0.5000  0.7461  0.2527
Dy  0.0000  0.2514  0.2518
Dy  0.0000  0.7486  0.7482
Pm  0.5000  0.5000  0.0000
Ce  0.0000  0.5000  0.5000

M_tot ... 0.8 μB/f.u.
Total energy ... -4.741 eV/atom
Formation enthalpy at 0 K ... 0.040 eV per atom

---

[14]
Compound: CePm2DyHo5
Source: Alexandria
Functional: PBE-GGA
Structure: optimized geometry

Cell lengths 8.5650, 8.5650, 9.8659 Å; angles 115.73, 115.73, 90.00 degrees
Fractional positions:
Ho  0.8445  0.9368  0.2813
Ho  0.5000  0.5000  0.0000
Ho  0.0632  0.5632  0.7187
Ho  0.6555  0.1555  0.7187
Ho  0.3445  0.8445  0.2813
Ho  0.4368  0.3445  0.2813
Ho  0.9368  0.4368  0.2813
Ho  0.1555  0.0632  0.7187
Ho  0.0000  0.0000  0.0000
Ho  0.5632  0.6555  0.7187
Dy  0.7500  0.7500  0.5000
Dy  0.2500  0.2500  0.5000
Ce  0.7500  0.2500  0.5000
Ce  0.2500  0.7500  0.5000
Pm  0.6204  0.1204  0.0000
Pm  0.3796  0.8796  0.0000
Pm  0.1204  0.3796  0.0000
Pm  0.8796  0.6204  0.0000

M_tot ... 1.0 μB/f.u.
Total energy ... -4.497 eV/atom
Formation enthalpy at 0 K ... 0.273 eV per atom

---

[15]
Compound: CePmDyHo
Source: Alexandria
Functional: PBE-GGA
Structure: optimized geometry

Cell lengths 5.6895, 5.6895, 5.6895 Å; angles 60.00, 60.00, 60.00 degrees
Fractional positions:
Ho  0.7500  0.7500  0.7500
Ce  0.2500  0.2500  0.2500
Pm  0.0000  0.0000  0.0000
Dy  0.5000  0.5000  0.5000

M_tot ... 3.1 μB/f.u.
Total energy ... -4.770 eV/atom
Formation enthalpy at 0 K ... 0.196 eV per atom

---

[16]
Compound: Ce2PmDy6Ho3
Source: Alexandria
Functional: PBE-GGA
Structure: optimized geometry

Cell lengths 6.1324, 6.1324, 11.7371 Å; angles 95.00, 95.00, 120.00 degrees
Fractional positions:
Ce  0.3333  0.6667  0.0000
Ce  0.6667  0.3333  0.0000
Dy  0.9159  0.5799  0.7494
Dy  0.4201  0.0841  0.2506
Dy  0.7481  0.7481  0.2506
Dy  0.5799  0.9159  0.7494
Dy  0.0841  0.4201  0.2506
Dy  0.2519  0.2519  0.7494
Pm  0.0000  0.0000  0.0000
Ho  0.1663  0.8337  0.5000
Ho  0.5000  0.5000  0.5000
Ho  0.8337  0.1663  0.5000

M_tot ... 1.8 μB/f.u.
Total energy ... -4.781 eV/atom
Formation enthalpy at 0 K ... 0.050 eV per atom

---

[17]
Compound: CePm2Dy5Ho
Source: Alexandria
Functional: PBE-GGA
Structure: optimized geometry

Cell lengths 8.5552, 8.5552, 9.9064 Å; angles 115.58, 115.58, 90.00 degrees
Fractional positions:
Ce  0.7500  0.2500  0.5000
Ce  0.2500  0.7500  0.5000
Dy  0.0000  0.0000  0.0000
Dy  0.5000  0.5000  0.0000
Dy  0.1558  0.0614  0.7172
Dy  0.6558  0.1558  0.7172
Dy  0.4386  0.3442  0.2828
Dy  0.5614  0.6558  0.7172
Dy  0.3442  0.8442  0.2828
Dy  0.8442  0.9386  0.2828
Dy  0.0614  0.5614  0.7172
Dy  0.9386  0.4386  0.2828
Pm  0.3787  0.8787  0.0000
Pm  0.6213  0.1213  0.0000
Pm  0.8787  0.6213  0.0000
Pm  0.1213  0.3787  0.0000
Ho  0.7500  0.7500  0.5000
Ho  0.2500  0.2500  0.5000

M_tot ... 0.9 μB/f.u.
Total energy ... -4.508 eV/atom
Formation enthalpy at 0 K ... 0.272 eV per atom

---

[18]
Compound: Ce2Pm3DyHo6
Source: Alexandria
Functional: PBE-GGA
Structure: optimized geometry

Cell lengths 6.1637, 6.1637, 11.7237 Å; angles 95.02, 95.02, 119.99 degrees
Fractional positions:
Ho  0.2530  0.2530  0.7535
Ho  0.4179  0.0825  0.2463
Ho  0.5821  0.9175  0.7537
Ho  0.9175  0.5821  0.7537
Ho  0.0825  0.4179  0.2463
Ho  0.7470  0.7470  0.2465
Dy  0.0000  0.0000  0.0000
Pm  0.8340  0.1660  0.5000
Pm  0.5000  0.5000  0.5000
Pm  0.1660  0.8340  0.5000
Ce  0.6664  0.3336  0.0000
Ce  0.3336  0.6664  0.0000

M_tot ... 1.9 μB/f.u.
Total energy ... -4.805 eV/atom
Formation enthalpy at 0 K ... 0.044 eV per atom

---

[19]
Compound: CePrDy2Ho
Source: Alexandria
Functional: PBE-GGA
Structure: optimized geometry

Cell lengths 7.2551, 7.7522, 5.8767 Å; angles 90.00, 90.00, 90.00 degrees
Fractional positions:
Ho  0.3852  0.0000  0.7500
Ho  0.6148  0.0000  0.2500
Ce  0.0000  0.0000  0.5000
Ce  0.0000  0.0000  0.0000
Pr  0.8366  0.5000  0.2500
Pr  0.1634  0.5000  0.7500
Dy  0.6770  0.2893  0.7500
Dy  0.3230  0.2893  0.2500
Dy  0.3230  0.7107  0.2500
Dy  0.6770  0.7107  0.7500

M_tot ... 1.6 μB/f.u.
Total energy ... -4.617 eV/atom
Formation enthalpy at 0 K ... 0.282 eV per atom

---

[20]
Compound: CePr2DyHo
Source: Alexandria
Functional: PBE-GGA
Structure: optimized geometry

Cell lengths 8.1077, 6.8435, 6.0972 Å; angles 90.00, 90.00, 90.00 degrees
Fractional positions:
Pr  0.3113  0.7320  0.2500
Pr  0.3113  0.2680  0.2500
Pr  0.6887  0.7320  0.7500
Pr  0.6887  0.2680  0.7500
Ho  0.1255  0.5000  0.7500
Ho  0.8745  0.5000  0.2500
Dy  0.6420  0.0000  0.2500
Dy  0.3580  0.0000  0.7500
Ce  0.0000  0.0000  0.0000
Ce  0.0000  0.0000  0.5000

M_tot ... 0.6 μB/f.u.
Total energy ... -4.658 eV/atom
Formation enthalpy at 0 K ... 0.276 eV per atom

---

[21]
Compound: Ce2PrDy3Ho6
Source: Alexandria
Functional: PBE-GGA
Structure: optimized geometry

Cell lengths 6.1370, 6.1370, 11.7222 Å; angles 95.01, 95.01, 120.00 degrees
Fractional positions:
Dy  0.5000  0.5000  0.5000
Dy  0.1663  0.8337  0.5000
Dy  0.8337  0.1663  0.5000
Ce  0.3333  0.6667  0.0000
Ce  0.6667  0.3333  0.0000
Ho  0.0841  0.4203  0.2506
Ho  0.4203  0.0841  0.2506
Ho  0.2522  0.2522  0.7495
Ho  0.9159  0.5797  0.7494
Ho  0.5797  0.9159  0.7494
Ho  0.7478  0.7478  0.2505
Pr  0.0000  0.0000  0.0000

M_tot ... 1.8 μB/f.u.
Total energy ... -4.776 eV/atom
Formation enthalpy at 0 K ... 0.050 eV per atom